(1)
VASP calculation (GGA-PBE) on a relaxed NaAgS3 crystal.

Structure (POSCAR):
```
NaAgS3
1.0
5.0457 0.0000 0.0000
0.0000 5.0457 0.0000
0.0000 0.0000 5.0457
Na Ag S
1 1 3
Direct
0.0000 0.0000 0.0000
0.5000 0.5000 0.5000
0.0000 0.0000 0.5000
0.0000 0.5000 0.0000
0.5000 0.0000 0.0000
```

## Properties
* symmetry: No. 221
* volume: 128.5 Å³/f.u.
* ΔE_f (raw): 88 kJ per mole of atoms
* excess energy over the best structure of this formula in the dataset: 5.90 eV per formula unit
* size of the total moment: 4.0 μB per formula unit



(2)
VASP calculation (GGA-PBE) on a relaxed NaAg4S3 crystal.

Structure (POSCAR):
```
NaAg4S3
1.0
4.2115 0.0000 0.0000
0.0000 4.2115 0.0000
0.0000 0.0000 9.5431
Na Ag S
1 4 3
Direct
0.0000 0.0000 0.0000
0.0000 0.5000 0.3181
0.0000 0.5000 0.6819
0.5000 0.0000 0.3181
0.5000 0.0000 0.6819
0.0000 0.0000 0.5000
0.5000 0.5000 0.1630
0.5000 0.5000 0.8370
```

## Properties
* symmetry: No. 123
* volume: 169.3 Å³/f.u.
* ΔE_f (raw): -15 kJ per mole of atoms
* size of the total moment: 0.0 μB per formula unit



(3)
VASP calculation (GGA-PBE) on a relaxed NaAg2S2 crystal.

Structure (POSCAR):
```
NaAg2S2
1.0
7.4700 0.0000 0.0000
0.0000 7.4700 0.0000
0.0000 0.0000 3.4449
Na Ag S
2 4 4
Direct
0.0000 0.0000 0.0000
0.5000 0.5000 0.0000
0.1373 0.3627 0.5000
0.3627 0.8627 0.5000
0.6373 0.1373 0.5000
0.8627 0.6373 0.5000
0.1709 0.6709 0.0000
0.3291 0.1709 0.0000
0.6709 0.8291 0.0000
0.8291 0.3291 0.0000
```

## Properties
* symmetry: No. 127
* volume: 96.1 Å³/f.u.
* ΔE_f (raw): -17 kJ per mole of atoms
* excess energy over the best structure of this formula in the dataset: 0.35 eV per formula unit
* size of the total moment: 0.0 μB per formula unit



(4)
VASP calculation (GGA-PBE) on a relaxed NaAgS3 crystal.

Structure (POSCAR):
```
NaAgS3
1.0
4.8996 0.0000 0.0000
0.0000 4.8996 0.0000
0.0000 0.0000 4.8996
Na Ag S
1 1 3
Direct
0.0000 0.0000 0.0000
0.5000 0.5000 0.5000
0.0000 0.5000 0.5000
0.5000 0.0000 0.5000
0.5000 0.5000 0.0000
```

## Properties
* symmetry: No. 221
* volume: 117.6 Å³/f.u.
* ΔE_f (raw): 27 kJ per mole of atoms
* excess energy over the best structure of this formula in the dataset: 2.78 eV per formula unit
* size of the total moment: 0.0 μB per formula unit



- Which formula does entry 3 have?
  NaAg2S2



- What is the ΔE_f (raw) in the third record?
  -17 kJ per mole of atoms



- What is the formula in the fourth record?
  NaAgS3



- Among the records above, which one has the highest volume?
  NaAg4S3